{"formula": "Hf2GaBi", "functional": "GGA-PBE", "state": "optimized geometry", "lattice_angstrom": [[0.000, 3.514, 3.514], [3.514, 0.000, 3.514], [3.514, 3.514, 0.000]], "species": ["Hf", "Hf", "Ga", "Bi"], "frac_coords": [[0.250, 0.250, 0.250], [0.750, 0.750, 0.750], [0.000, 0.000, 0.000], [0.500, 0.500, 0.500]], "relative_energy_mev_per_atom": 189, "total_magnetization_mub_per_fu": 0.0, "e_form_ev_per_atom": 0.036, "final_energy_ev_per_atom": -6.67}

=====

{"formula": "CaPmHgRh", "functional": "GGA-PBE", "state": "optimized geometry", "lattice_angstrom": [[-0.562, -2.314, 4.551], [1.944, -4.694, 0.751], [4.063, -0.634, 3.077]], "species": ["Ca", "Pm", "Hg", "Rh"], "frac_coords": [[0.750, 0.750, 0.750], [0.250, 0.250, 0.250], [0.500, 0.500, 0.500], [0.000, 0.000, 0.000]], "relative_energy_mev_per_atom": 71, "total_magnetization_mub_per_fu": 0.0, "e_form_ev_per_atom": -0.479, "final_energy_ev_per_atom": -4.08}

=====

{"formula": "TiBeTl2Ga", "functional": "GGA-PBE", "state": "optimized geometry", "lattice_angstrom": [[-3.655, 2.450, 3.135], [1.180, -2.317, 3.186], [3.664, 3.731, 1.357]], "species": ["Tl", "Tl", "Ti", "Be", "Ga"], "frac_coords": [[0.500, 0.000, 0.000], [0.000, 0.000, 0.500], [0.500, 0.500, 0.500], [0.000, 0.500, 0.000], [0.000, 0.000, 0.000]], "total_magnetization_mub_per_fu": 0.0, "e_form_ev_per_atom": 0.861, "final_energy_ev_per_atom": -3.01}